(1)
Entry from Alexandria via LeMat-Bulk: Ca2YCdN after structural relaxation (GGA-PBE).

Properties
ΔE_f (raw): -0.674 eV per atom
SG: P4/mmm

abc: 5.031 5.031 4.710
angles: 90.00 90.00 90.00
Element x y z (fractional)
1 Ca 0.000 0.500 0.000
2 Ca 0.500 0.000 0.000
3 Y 0.000 0.000 0.500
4 Cd 0.500 0.500 0.500
5 N 0.000 0.000 0.000

=====

(2)
Entry from Alexandria via LeMat-Bulk: CaY2CdN after structural relaxation (GGA-PBE).

Properties
ΔE_f (raw): -0.754 eV per atom
SG: P4/mmm

abc: 4.817 4.817 4.999
angles: 90.00 90.00 90.00
Element x y z (fractional)
1 Ca 0.000 0.000 0.000
2 Y 0.000 0.500 0.500
3 Y 0.500 0.000 0.500
4 Cd 0.500 0.500 0.000
5 N 0.000 0.000 0.500

=====

| no. | spin magnetization (μB per cell) | DOS(E_F) (states/eV per atom) |
| --- | --- | --- |
| 1 | 0.00 | 0.977 |
| 2 | 0.00 | 1.145 |